[1]
CePrInBi | PBE | optimized geometry

Properties
* energy of formation: -1.8 eV/f.u.
* final energy: -4.795 eV per atom

Lattice parameters (Å, degrees): 5.565 5.565 5.565 60.00 60.00 60.00
Element x y z (fractional)
Ce (0.000, 0.000, 0.000)
Pr (0.500, 0.500, 0.500)
In (0.250, 0.250, 0.250)
Bi (0.750, 0.750, 0.750)

***

[2]
Li2AlC | PBE | optimized geometry

Properties
* energy relative to the lowest polymorph listed for this composition: 0.0000 eV per atom
* energy of formation: 2.6 eV/f.u.
* final energy: -3.557 eV per atom

Lattice parameters (Å, degrees): 8.801 8.801 8.801 158.90 158.90 30.01
Element x y z (fractional)
Li (0.071, 0.125, 0.446)
Li (0.375, 0.929, 0.054)
Li (0.679, 0.625, 0.554)
Li (0.875, 0.321, 0.946)
Al (0.250, 0.750, 0.500)
Al (0.500, 0.500, 0.000)
C (0.000, 0.000, 0.000)
C (0.750, 0.250, 0.500)

***

[3]
Ho5Ir2Au | PBE | optimized geometry

Properties
* energy of formation: -6.4 eV/f.u.
* final energy: -6.283 eV per atom

Lattice parameters (Å, degrees): 8.568 8.568 8.568 127.13 127.13 78.04
Element x y z (fractional)
Ho (0.000, 0.000, 0.000)
Ho (0.025, 0.525, 0.824)
Ho (0.200, 0.025, 0.500)
Ho (0.300, 0.800, 0.824)
Ho (0.475, 0.300, 0.500)
Ho (0.500, 0.500, 0.000)
Ho (0.525, 0.700, 0.500)
Ho (0.700, 0.200, 0.176)
Ho (0.800, 0.975, 0.500)
Ho (0.975, 0.475, 0.176)
Ir (0.139, 0.361, 0.500)
Ir (0.361, 0.861, 0.223)
Ir (0.639, 0.139, 0.777)
Ir (0.861, 0.639, 0.500)
Au (0.250, 0.250, 0.000)
Au (0.750, 0.750, 0.000)

***

[4]
HfP3Au | PBE | optimized geometry

Properties
* energy of formation: 4.4 eV/f.u.
* final energy: -5.006 eV per atom

Lattice parameters (Å, degrees): 4.727 4.727 4.727 90.00 90.00 90.00
Element x y z (fractional)
Hf (0.000, 0.000, 0.000)
P (0.000, 0.500, 0.500)
P (0.500, 0.000, 0.500)
P (0.500, 0.500, 0.000)
Au (0.500, 0.500, 0.500)

***

[5]
LiDyZnGa | PBE | optimized geometry

Properties
* energy of formation: -1.5 eV/f.u.
* final energy: -3.086 eV per atom

Lattice parameters (Å, degrees): 4.783 4.783 4.783 60.00 60.00 60.00
Element x y z (fractional)
Li (0.000, 0.000, 0.000)
Dy (0.500, 0.500, 0.500)
Zn (0.750, 0.750, 0.750)
Ga (0.250, 0.250, 0.250)

***

[6]
Mn4SiRu | PBE | optimized geometry

Properties
* final energy: -8.447 eV per atom

Lattice parameters (Å, degrees): 4.631 4.631 4.631 60.00 60.00 60.00
Element x y z (fractional)
Mn (0.377, 0.377, 0.377)
Mn (0.377, 0.377, 0.870)
Mn (0.377, 0.870, 0.377)
Mn (0.870, 0.377, 0.377)
Si (0.750, 0.750, 0.750)
Ru (0.000, 0.000, 0.000)

***

[7]
ZrZn2BBr | PBE | optimized geometry

Properties
* final energy: -3.910 eV per atom

Lattice parameters (Å, degrees): 4.101 4.101 5.087 90.00 90.00 90.00
Element x y z (fractional)
Zr (0.000, 0.000, 0.000)
Zn (0.000, 0.500, 0.500)
Zn (0.500, 0.000, 0.500)
B (0.000, 0.000, 0.500)
Br (0.500, 0.500, 0.000)

***

[8]
NaAlBiSe3 | PBE | optimized geometry

Properties
* final energy: -3.897 eV per atom

Lattice parameters (Å, degrees): 8.714 4.047 10.549 90.00 92.44 90.00
Element x y z (fractional)
Na (0.149, 0.250, 0.131)
Na (0.851, 0.750, 0.869)
Al (0.078, 0.250, 0.603)
Al (0.922, 0.750, 0.397)
Bi (0.377, 0.750, 0.836)
Bi (0.623, 0.250, 0.164)
Se (0.096, 0.250, 0.826)
Se (0.184, 0.750, 0.499)
Se (0.402, 0.750, 0.141)
Se (0.598, 0.250, 0.859)
Se (0.816, 0.250, 0.501)
Se (0.904, 0.750, 0.174)

***

[9]
AcHfPbO6 | PBE | optimized geometry

Properties
* final energy: -7.568 eV per atom

Lattice parameters (Å, degrees): 5.665 5.665 10.622 90.00 90.00 120.00
Element x y z (fractional)
Ac (0.000, 0.000, 0.000)
Ac (0.000, 0.000, 0.500)
Hf (0.333, 0.667, 0.250)
Hf (0.667, 0.333, 0.750)
Pb (0.333, 0.667, 0.750)
Pb (0.667, 0.333, 0.250)
O (0.014, 0.371, 0.140)
O (0.014, 0.643, 0.360)
O (0.357, 0.371, 0.360)
O (0.357, 0.986, 0.140)
O (0.371, 0.014, 0.640)
O (0.371, 0.357, 0.860)
O (0.629, 0.643, 0.140)
O (0.629, 0.986, 0.360)
O (0.643, 0.014, 0.860)
O (0.643, 0.629, 0.640)
O (0.986, 0.357, 0.640)
O (0.986, 0.629, 0.860)

***

[10]
Cs2CdInF6 | PBE | optimized geometry

Properties
* final energy: -4.085 eV per atom

Lattice parameters (Å, degrees): 6.523 6.523 6.523 120.06 120.06 89.90
Element x y z (fractional)
Cs (0.250, 0.750, 0.500)
Cs (0.750, 0.250, 0.500)
Cd (0.000, 0.000, 0.000)
In (0.500, 0.500, 0.000)
F (0.252, 0.252, 0.000)
F (0.252, 0.252, 0.504)
F (0.252, 0.748, 0.000)
F (0.748, 0.252, 0.000)
F (0.748, 0.748, 0.000)
F (0.748, 0.748, 0.496)

***

[11]
LaFe3Br | PBE | optimized geometry

Properties
* energy relative to the lowest polymorph listed for this composition: 0.9302 eV per atom
* final energy: -4.697 eV per atom

Lattice parameters (Å, degrees): 4.803 4.803 4.803 90.00 90.00 90.00
Element x y z (fractional)
La (0.000, 0.000, 0.000)
Fe (0.000, 0.000, 0.500)
Fe (0.000, 0.500, 0.000)
Fe (0.500, 0.000, 0.000)
Br (0.500, 0.500, 0.500)

***

[12]
CuAuCl | PBE | optimized geometry

Properties
* energy relative to the lowest polymorph listed for this composition: 0.0000 eV per atom
* final energy: -3.112 eV per atom

Lattice parameters (Å, degrees): 3.261 3.261 5.917 90.00 90.00 120.00
Element x y z (fractional)
Cu (0.000, 0.000, 0.000)
Au (0.667, 0.333, 0.310)
Cl (0.333, 0.667, 0.748)

***

[13]
MgSc | PBE | optimized geometry

Properties
* energy of formation: 2.7 eV/f.u.
* final energy: -2.620 eV per atom

Lattice parameters (Å, degrees): 4.746 4.746 4.746 60.00 60.00 60.00
Element x y z (fractional)
Mg (0.000, 0.000, 0.000)
Sc (0.750, 0.750, 0.750)

***

[14]
CsAsPS2 | PBE | optimized geometry

Properties
* energy relative to the lowest polymorph listed for this composition: 1.6971 eV per atom
* final energy: -1.967 eV per atom

Lattice parameters (Å, degrees): 5.278 5.278 5.675 90.00 90.00 90.00
Element x y z (fractional)
Cs (0.000, 0.000, 0.000)
As (0.500, 0.500, 0.500)
P (0.000, 0.000, 0.500)
S (0.000, 0.500, 0.000)
S (0.500, 0.000, 0.000)

***

[15]
ReAu | PBE | optimized geometry

Properties
* energy relative to the lowest polymorph listed for this composition: 0.6964 eV per atom
* energy of formation: 1.7 eV/f.u.
* final energy: -7.022 eV per atom

Lattice parameters (Å, degrees): 4.447 10.455 5.012 90.00 90.00 90.00
Element x y z (fractional)
Re (0.250, 0.011, 0.125)
Re (0.250, 0.250, 0.120)
Re (0.250, 0.489, 0.125)
Re (0.750, 0.511, 0.875)
Re (0.750, 0.750, 0.880)
Re (0.750, 0.989, 0.875)
Au (0.250, 0.109, 0.608)
Au (0.250, 0.391, 0.608)
Au (0.250, 0.750, 0.142)
Au (0.750, 0.250, 0.858)
Au (0.750, 0.609, 0.392)
Au (0.750, 0.891, 0.392)

***

[16]
Ca3Mg5F12 | PBE | optimized geometry

Properties
* final energy: -4.864 eV per atom

Lattice parameters (Å, degrees): 11.538 11.538 11.538 109.47 109.47 109.47
Element x y z (fractional)
Ca (0.125, 0.250, 0.375)
Ca (0.125, 0.375, 0.750)
Ca (0.250, 0.375, 0.125)
Ca (0.250, 0.875, 0.625)
Ca (0.375, 0.125, 0.250)
Ca (0.375, 0.750, 0.125)
Ca (0.625, 0.250, 0.875)
Ca (0.625, 0.875, 0.750)
Ca (0.750, 0.125, 0.375)
Ca (0.750, 0.625, 0.875)
Ca (0.875, 0.625, 0.250)
Ca (0.875, 0.750, 0.625)
Mg (0.000, 0.000, 0.000)
Mg (0.000, 0.000, 0.500)
Mg (0.000, 0.500, 0.000)
Mg (0.000, 0.500, 0.500)
Mg (0.125, 0.750, 0.875)
Mg (0.125, 0.875, 0.250)
Mg (0.250, 0.125, 0.875)
Mg (0.250, 0.625, 0.375)
Mg (0.375, 0.250, 0.625)
Mg (0.375, 0.625, 0.750)
Mg (0.500, 0.000, 0.000)
Mg (0.500, 0.000, 0.500)
Mg (0.500, 0.500, 0.000)
Mg (0.500, 0.500, 0.500)
Mg (0.625, 0.375, 0.250)
Mg (0.625, 0.750, 0.375)
Mg (0.750, 0.375, 0.625)
Mg (0.750, 0.875, 0.125)
Mg (0.875, 0.125, 0.750)
Mg (0.875, 0.250, 0.125)
F (0.033, 0.197, 0.139)
F (0.033, 0.337, 0.895)
F (0.058, 0.697, 0.663)
F (0.058, 0.861, 0.395)
F (0.105, 0.639, 0.442)
F (0.105, 0.967, 0.663)
F (0.139, 0.033, 0.197)
F (0.139, 0.605, 0.942)
F (0.163, 0.197, 0.558)
F (0.163, 0.467, 0.605)
F (0.197, 0.139, 0.033)
F (0.197, 0.558, 0.163)
F (0.303, 0.337, 0.942)
F (0.303, 0.467, 0.361)
F (0.337, 0.895, 0.033)
F (0.337, 0.942, 0.303)
F (0.361, 0.303, 0.467)
F (0.361, 0.558, 0.895)
F (0.395, 0.058, 0.861)
F (0.395, 0.837, 0.533)
F (0.442, 0.105, 0.639)
F (0.442, 0.837, 0.803)
F (0.467, 0.361, 0.303)
F (0.467, 0.605, 0.163)
F (0.533, 0.395, 0.837)
F (0.533, 0.639, 0.697)
F (0.558, 0.163, 0.197)
F (0.558, 0.895, 0.361)
F (0.605, 0.163, 0.467)
F (0.605, 0.942, 0.139)
F (0.639, 0.442, 0.105)
F (0.639, 0.697, 0.533)
F (0.663, 0.058, 0.697)
F (0.663, 0.105, 0.967)
F (0.697, 0.533, 0.639)
F (0.697, 0.663, 0.058)
F (0.803, 0.442, 0.837)
F (0.803, 0.861, 0.967)
F (0.837, 0.533, 0.395)
F (0.837, 0.803, 0.442)
F (0.861, 0.395, 0.058)
F (0.861, 0.967, 0.803)
F (0.895, 0.033, 0.337)
F (0.895, 0.361, 0.558)
F (0.942, 0.139, 0.605)
F (0.942, 0.303, 0.337)
F (0.967, 0.663, 0.105)
F (0.967, 0.803, 0.861)

***

[17]
PrHoCo4 | PBE | optimized geometry

Properties
* energy relative to the lowest polymorph listed for this composition: 0.0000 eV per atom
* energy of formation: -0.7 eV/f.u.
* final energy: -6.408 eV per atom

Lattice parameters (Å, degrees): 3.871 4.137 6.719 90.00 90.00 90.00
Element x y z (fractional)
Pr (0.000, 0.000, 0.000)
Ho (0.500, 0.000, 0.500)
Co (0.000, 0.500, 0.336)
Co (0.000, 0.500, 0.664)
Co (0.500, 0.500, 0.170)
Co (0.500, 0.500, 0.830)

***

[18]
CdGaCl5 | PBE | optimized geometry

Properties
* final energy: -2.952 eV per atom

Lattice parameters (Å, degrees): 7.108 7.108 9.486 109.39 109.39 90.02
Element x y z (fractional)
Cd (0.000, 0.000, 0.000)
Cd (0.000, 0.000, 0.500)
Ga (0.391, 0.609, 0.750)
Ga (0.609, 0.391, 0.250)
Cl (0.087, 0.913, 0.250)
Cl (0.258, 0.711, 0.548)
Cl (0.275, 0.340, 0.163)
Cl (0.289, 0.742, 0.952)
Cl (0.340, 0.275, 0.663)
Cl (0.660, 0.725, 0.337)
Cl (0.711, 0.258, 0.048)
Cl (0.725, 0.660, 0.837)
Cl (0.742, 0.289, 0.452)
Cl (0.913, 0.087, 0.750)

***

[19]
Y2Mo | PBE | optimized geometry

Properties
* energy relative to the lowest polymorph listed for this composition: 0.1648 eV per atom
* energy of formation: 0.9 eV/f.u.
* final energy: -7.609 eV per atom

Lattice parameters (Å, degrees): 3.458 3.458 15.316 90.00 90.00 120.00
Element x y z (fractional)
Y (0.333, 0.667, 0.292)
Y (0.333, 0.667, 0.905)
Y (0.667, 0.333, 0.095)
Y (0.667, 0.333, 0.708)
Mo (0.333, 0.667, 0.552)
Mo (0.667, 0.333, 0.448)

***

[20]
AuSeBr2 | PBE | optimized geometry

Properties
* energy relative to the lowest polymorph listed for this composition: 0.4372 eV per atom
* final energy: -2.135 eV per atom

Lattice parameters (Å, degrees): 12.527 12.527 12.527 14.65 14.65 14.65
Element x y z (fractional)
Au (0.000, 0.000, 0.000)
Se (0.500, 0.500, 0.500)
Br (0.066, 0.066, 0.066)
Br (0.934, 0.934, 0.934)